{"formula": "LiVP3O9", "functional": "SCAN", "state": "PBEsol geometry", "cell": [[9.198, 0.000, 0.000], [0.000, 7.140, 0.000], [0.000, 0.000, 12.193]], "species": ["Li", "Li", "Li", "Li", "V", "V", "V", "V", "P", "P", "P", "P", "P", "P", "P", "P", "P", "P", "P", "P", "O", "O", "O", "O", "O", "O", "O", "O", "O", "O", "O", "O", "O", "O", "O", "O", "O", "O", "O", "O", "O", "O", "O", "O", "O", "O", "O", "O", "O", "O", "O", "O", "O", "O", "O", "O"], "frac_coords": [[0.052, 0.250, 0.008], [0.448, 0.750, 0.508], [0.552, 0.250, 0.492], [0.948, 0.750, 0.992], [0.020, 0.750, 0.785], [0.480, 0.250, 0.285], [0.520, 0.750, 0.715], [0.980, 0.250, 0.215], [0.200, 0.250, 0.451], [0.249, 0.542, 0.146], [0.249, 0.958, 0.146], [0.251, 0.042, 0.646], [0.251, 0.458, 0.646], [0.300, 0.750, 0.951], [0.700, 0.250, 0.049], [0.749, 0.542, 0.354], [0.749, 0.958, 0.354], [0.751, 0.042, 0.854], [0.751, 0.458, 0.854], [0.800, 0.750, 0.549], [0.097, 0.250, 0.359], [0.109, 0.060, 0.119], [0.109, 0.440, 0.119], [0.138, 0.750, 0.931], [0.150, 0.537, 0.728], [0.150, 0.963, 0.728], [0.165, 0.076, 0.532], [0.165, 0.424, 0.532], [0.202, 0.750, 0.182], [0.298, 0.250, 0.682], [0.335, 0.576, 0.032], [0.335, 0.924, 0.032], [0.350, 0.037, 0.228], [0.350, 0.463, 0.228], [0.362, 0.250, 0.431], [0.391, 0.560, 0.619], [0.391, 0.940, 0.619], [0.403, 0.750, 0.859], [0.597, 0.250, 0.141], [0.609, 0.060, 0.381], [0.609, 0.440, 0.381], [0.638, 0.750, 0.569], [0.650, 0.537, 0.772], [0.650, 0.963, 0.772], [0.665, 0.076, 0.968], [0.665, 0.424, 0.968], [0.702, 0.750, 0.318], [0.798, 0.250, 0.818], [0.835, 0.576, 0.468], [0.835, 0.924, 0.468], [0.850, 0.037, 0.272], [0.850, 0.463, 0.272], [0.862, 0.250, 0.069], [0.891, 0.560, 0.881], [0.891, 0.940, 0.881], [0.903, 0.750, 0.641]], "mass_density_g_cm3": 2.45, "total_magnetization_mub_per_fu": 3.0, "polymorph_energy_ev_per_atom": 0.055}

=====

{"formula": "Zr2Ga3Co", "functional": "SCAN", "state": "PBEsol geometry", "cell": [[4.820, -2.071, 0.000], [4.820, 2.071, 0.000], [-4.248, 0.000, 4.849]], "species": ["Zr", "Zr", "Ga", "Ga", "Ga", "Co"], "frac_coords": [[0.000, 0.000, 0.000], [0.081, 0.081, 0.580], [0.367, 0.367, 0.159], [0.397, 0.397, 0.625], [0.709, 0.709, 0.394], [0.714, 0.714, 0.010]], "e_form_ev_per_atom": -0.60, "mass_density_g_cm3": 7.73, "total_magnetization_mub_per_fu": 0.7}

=====

{"formula": "K2BeSe", "functional": "SCAN", "state": "PBEsol geometry", "cell": [[6.121, -2.273, 0.000], [6.121, 2.273, 0.000], [-0.809, 0.000, 4.734]], "species": ["K", "K", "Be", "Se"], "frac_coords": [[0.000, 0.000, 0.000], [0.715, 0.715, 0.598], [0.294, 0.294, 0.171], [0.435, 0.435, 0.470]], "energy_ev_per_atom": -10.7121, "mass_density_g_cm3": 2.09, "total_magnetization_mub_per_fu": 0.0}